[1]
CrH3 | GGA-PBE | relaxed

Cell lengths 3.243, 3.243, 3.243 Å; angles 127.77, 96.27, 106.16 degrees
Element x y z (fractional)
Cr 0.000 0.000 0.000
H 0.394 0.671 0.723
H 0.740 0.240 0.500
H 0.948 0.671 0.277

Crystal system   orthorhombic
Energy   -0.348 Ry/atom



[2]
CrH4 | GGA-PBE | relaxed

Cell lengths 3.352, 3.352, 3.352 Å; angles 90.00, 90.00, 90.00 degrees
Element x y z (fractional)
Cr 0.000 0.000 0.000
H 0.000 0.000 0.500
H 0.000 0.500 0.000
H 0.500 0.000 0.000
H 0.500 0.500 0.500

Crystal system   cubic
Energy   -0.290 Ry/atom